## RbInCl3 (GGA-PBE)

Data for RbInCl3 after structural relaxation.

abc: 10.0929 10.0929 10.0929
angles: 60.00 60.00 60.00
Sites, in units of the cell vectors:
1 Rb 0.0000 0.0000 0.0000
2 Rb 0.0000 0.0000 0.5000
3 Rb 0.0000 0.5000 0.0000
4 Rb 0.5000 0.0000 0.0000
5 In 0.0000 0.5000 0.5000
6 In 0.5000 0.0000 0.5000
7 In 0.5000 0.5000 0.0000
8 In 0.5000 0.5000 0.5000
9 Cl 0.1686 0.1686 0.5814
10 Cl 0.1686 0.5814 0.1686
11 Cl 0.1686 0.5814 0.5814
12 Cl 0.4186 0.4186 0.8314
13 Cl 0.4186 0.8314 0.4186
14 Cl 0.4186 0.8314 0.8314
15 Cl 0.5814 0.1686 0.1686
16 Cl 0.5814 0.1686 0.5814
17 Cl 0.5814 0.5814 0.1686
18 Cl 0.8314 0.4186 0.4186
19 Cl 0.8314 0.4186 0.8314
20 Cl 0.8314 0.8314 0.4186

Results
* M_tot: 0.00 μB per formula unit
* uncorrected formation energy: -1253 meV per atom
* space-group type: Fd-3m, No. 227